1.
Entry from Alexandria via LeMat-Bulk: a relaxed structure of PuTl3Bi2S6 (GGA-PBE).

Unit cell a=7.176 b=7.176 c=7.814 alpha=98.80 beta=98.80 gamma=120.00
Sites, in units of the cell vectors:
S1 0.741 0.741 0.206
S2 0.259 0.259 0.794
S3 0.604 0.932 0.795
S4 0.932 0.604 0.795
S5 0.396 0.068 0.205
S6 0.068 0.396 0.205
Bi1 0.666 0.334 0.000
Bi2 0.334 0.666 0.000
Pu1 0.000 0.000 0.000
Tl1 0.832 0.168 0.500
Tl2 0.500 0.500 0.500
Tl3 0.168 0.832 0.500

Calculated values
space-group type	C2/m, No. 12
energy	-5.160	eV per atom
magnetization	0.42	μB per atom

---

2.
Entry from Alexandria via LeMat-Bulk: a relaxed structure of Zn4SbPd7 (GGA-PBE).

Unit cell a=4.857 b=8.165 c=5.953 alpha=77.33 beta=65.92 gamma=72.70
Sites, in units of the cell vectors:
Pd1 0.500 0.000 0.000
Pd2 0.066 0.662 0.206
Pd3 0.645 0.459 0.251
Pd4 0.788 0.918 0.505
Pd5 0.212 0.082 0.495
Pd6 0.934 0.338 0.794
Pd7 0.355 0.541 0.749
Zn1 0.741 0.668 0.849
Zn2 0.424 0.767 0.385
Zn3 0.259 0.332 0.151
Zn4 0.576 0.233 0.615
Sb1 0.000 0.000 0.000

Calculated values
space-group type	C2/m, No. 12
energy	-4.040	eV per atom
magnetization	0.00	μB per atom

---

3.
Entry from Alexandria via LeMat-Bulk: a relaxed structure of AlCdOs2 (GGA-PBE).

Unit cell a=4.124 b=2.849 c=5.626 alpha=72.87 beta=90.00 gamma=90.00
Sites, in units of the cell vectors:
Cd1 0.500 0.750 0.750
Os1 0.000 0.096 0.034
Os2 0.000 0.404 0.466
Al1 0.500 0.250 0.250

Calculated values
space-group type	P2/m, No. 10
energy	-6.471	eV per atom
formation energy	308	meV per atom
magnetization	0.00	μB per atom

---

4.
Entry from Alexandria via LeMat-Bulk: a relaxed structure of BaSrTlSn (GGA-PBE).

Unit cell a=5.918 b=5.918 c=5.918 alpha=60.00 beta=60.00 gamma=60.00
Sites, in units of the cell vectors:
Ba1 0.750 0.750 0.750
Tl1 0.000 0.000 0.000
Sn1 0.500 0.500 0.500
Sr1 0.250 0.250 0.250

Calculated values
space-group type	F-43m, No. 216
energy	-2.992	eV per atom
formation energy	-499	meV per atom
magnetization	0.00	μB per atom

---

5.
Entry from Alexandria via LeMat-Bulk: a relaxed structure of YFe2W (GGA-PBE).

Unit cell a=6.893 b=6.893 c=5.685 alpha=52.68 beta=52.68 gamma=90.00
Sites, in units of the cell vectors:
Fe1 0.875 0.924 0.750
Fe2 0.076 0.625 0.250
Fe3 0.674 0.125 0.250
Fe4 0.375 0.326 0.750
W1 0.000 0.000 0.000
W2 0.750 0.250 0.500
Y1 0.500 0.500 0.000
Y2 0.250 0.750 0.500

Calculated values
space-group type	I-42d, No. 122
energy	-8.410	eV per atom
formation energy	676	meV per atom
magnetization	0.00	μB per atom

---

6.
Entry from Alexandria via LeMat-Bulk: a relaxed structure of La2Ni3Ge2 (GGA-PBE).

Unit cell a=3.907 b=5.839 c=6.926 alpha=115.69 beta=90.00 gamma=109.55
Sites, in units of the cell vectors:
La1 0.869 0.738 0.247
La2 0.131 0.262 0.753
Ni1 0.500 0.000 0.000
Ni2 0.349 0.699 0.576
Ni3 0.651 0.301 0.424
Ge1 0.857 0.715 0.782
Ge2 0.143 0.285 0.218

Calculated values
space-group type	C2/m, No. 12
energy	-5.758	eV per atom
formation energy	-553	meV per atom
magnetization	0.00	μB per atom

---

7.
Entry from Alexandria via LeMat-Bulk: a relaxed structure of Ta2AlW (GGA-PBE).

Unit cell a=4.613 b=2.798 c=5.355 alpha=80.87 beta=90.00 gamma=90.00
Sites, in units of the cell vectors:
Ta1 0.500 0.270 0.260
Ta2 0.000 0.006 0.996
W1 0.000 0.520 0.493
Al1 0.500 0.705 0.751

Calculated values
space-group type	Pm, No. 6
energy	-10.162	eV per atom
formation energy	-62	meV per atom
magnetization	0.00	μB per atom

---

8.
Entry from Alexandria via LeMat-Bulk: a relaxed structure of CaTa2Os (GGA-PBE).

Unit cell a=3.016 b=3.671 c=7.633 alpha=90.00 beta=90.00 gamma=90.00
Sites, in units of the cell vectors:
Ta1 0.000 0.000 0.572
Ta2 0.000 0.000 0.928
Os1 0.500 0.500 0.750
Ca1 0.500 0.500 0.250

Calculated values
space-group type	Pmmm, No. 47
energy	-8.852	eV per atom
formation energy	382	meV per atom
magnetization	0.00	μB per atom

---

9.
Entry from Alexandria via LeMat-Bulk: a relaxed structure of HgPdS3 (GGA-PBE).

Unit cell a=4.745 b=4.745 c=4.745 alpha=90.00 beta=90.00 gamma=90.00
Sites, in units of the cell vectors:
Pd1 0.000 0.000 0.000
S1 0.500 0.000 0.000
S2 0.000 0.500 0.000
S3 0.000 0.000 0.500
Hg1 0.500 0.500 0.500

Calculated values
space-group type	Pm-3m, No. 221
energy	-3.052	eV per atom
magnetization	0.00	μB per atom

---

10.
Entry from Alexandria via LeMat-Bulk: a relaxed structure of In2MoIr (GGA-PBE).

Unit cell a=3.012 b=3.636 c=6.506 alpha=90.00 beta=90.00 gamma=90.00
Sites, in units of the cell vectors:
In1 0.000 0.000 0.012
In2 0.000 0.000 0.488
Mo1 0.500 0.500 0.750
Ir1 0.500 0.500 0.250

Calculated values
space-group type	Pmmm, No. 47
energy	-6.021	eV per atom
formation energy	271	meV per atom
magnetization	0.00	μB per atom

---

11.
Entry from Alexandria via LeMat-Bulk: a relaxed structure of Na2HgBiI6 (GGA-PBE).

Unit cell a=8.058 b=8.064 c=8.741 alpha=62.52 beta=62.47 gamma=59.99
Sites, in units of the cell vectors:
Bi1 0.327 0.327 0.019
I1 0.718 0.107 0.758
I2 0.107 0.418 0.757
I3 0.943 0.585 0.252
I4 0.219 0.944 0.253
I5 0.419 0.717 0.757
I6 0.585 0.220 0.252
Na1 0.516 0.516 0.450
Na2 0.008 0.008 0.977
Hg1 0.820 0.820 0.540

Calculated values
space-group type	P1, No. 1
energy	-2.276	eV per atom
magnetization	0.00	μB per atom

---

12.
Entry from Alexandria via LeMat-Bulk: a relaxed structure of Tb2Pr4SmDy (GGA-PBE).

Unit cell a=5.194 b=5.163 c=11.432 alpha=63.09 beta=90.00 gamma=90.00
Sites, in units of the cell vectors:
Pr1 0.000 0.249 0.251
Pr2 0.000 0.751 0.749
Pr3 0.500 0.252 0.748
Pr4 0.500 0.748 0.252
Tb1 0.500 0.000 0.500
Tb2 0.000 0.000 0.000
Dy1 0.000 0.500 0.500
Sm1 0.500 0.500 0.000

Calculated values
space-group type	P2/m, No. 10
energy	-4.698	eV per atom
formation energy	14	meV per atom
magnetization	0.00	μB per atom

---

13.
Entry from Alexandria via LeMat-Bulk: a relaxed structure of La2ScV (GGA-PBE).

Unit cell a=5.415 b=5.415 c=5.415 alpha=60.00 beta=60.00 gamma=60.00
Sites, in units of the cell vectors:
Sc1 0.000 0.000 0.000
La1 0.250 0.250 0.250
La2 0.750 0.750 0.750
V1 0.500 0.500 0.500

Calculated values
space-group type	Fm-3m, No. 225
energy	-6.016	eV per atom
formation energy	310	meV per atom
magnetization	0.60	μB per atom

---

14.
Entry from Alexandria via LeMat-Bulk: a relaxed structure of ScBe17Fe (GGA-PBE).

Unit cell a=5.555 b=5.555 c=5.555 alpha=82.79 beta=82.79 gamma=82.79
Sites, in units of the cell vectors:
Be1 0.295 0.007 0.699
Be2 0.295 0.699 0.007
Be3 0.650 0.167 0.650
Be4 0.343 0.343 0.860
Be5 0.007 0.295 0.699
Be6 0.860 0.343 0.343
Be7 0.699 0.295 0.007
Be8 0.995 0.995 0.504
Be9 0.343 0.860 0.343
Be10 0.007 0.699 0.295
Be11 0.650 0.650 0.167
Be12 0.995 0.504 0.995
Be13 0.699 0.007 0.295
Be14 0.102 0.102 0.102
Be15 0.905 0.905 0.905
Be16 0.167 0.650 0.650
Be17 0.504 0.995 0.995
Sc1 0.661 0.661 0.661
Fe1 0.323 0.323 0.323

Calculated values
space-group type	R3m, No. 160
energy	-4.211	eV per atom
formation energy	-99	meV per atom
magnetization	0.09	μB per atom

---

15.
Entry from Alexandria via LeMat-Bulk: a relaxed structure of BaScPa2S8 (GGA-PBE).

Unit cell a=6.363 b=6.338 c=8.444 alpha=90.00 beta=90.00 gamma=87.53
Sites, in units of the cell vectors:
S1 0.809 0.228 0.793
S2 0.315 0.296 0.000
S3 0.685 0.704 0.000
S4 0.191 0.772 0.793
S5 0.362 0.299 0.500
S6 0.191 0.772 0.207
S7 0.809 0.228 0.207
S8 0.638 0.701 0.500
Ba1 0.000 0.000 0.500
Pa1 0.500 0.500 0.246
Pa2 0.500 0.500 0.754
Sc1 0.000 0.000 0.000

Calculated values
space-group type	P2/m, No. 10
energy	-6.516	eV per atom
magnetization	0.00	μB per atom

---

16.
Entry from Alexandria via LeMat-Bulk: a relaxed structure of KLi2Ag (GGA-PBE).

Unit cell a=4.991 b=4.991 c=10.307 alpha=75.99 beta=75.99 gamma=90.00
Sites, in units of the cell vectors:
Li1 0.754 0.125 0.250
Li2 0.996 0.625 0.250
Li3 0.375 0.246 0.750
Li4 0.875 0.004 0.750
K1 0.500 0.500 0.000
K2 0.250 0.750 0.500
Ag1 0.750 0.250 0.500
Ag2 0.000 0.000 0.000

Calculated values
space-group type	I-42d, No. 122
energy	-1.790	eV per atom
formation energy	154	meV per atom
magnetization	0.00	μB per atom

---

17.
Entry from Alexandria via LeMat-Bulk: a relaxed structure of Sn2HgHPd (GGA-PBE).

Unit cell a=5.523 b=5.523 c=3.363 alpha=90.00 beta=90.00 gamma=90.00
Sites, in units of the cell vectors:
Sn1 0.000 0.500 0.000
Sn2 0.500 0.000 0.000
Hg1 0.500 0.500 0.500
Pd1 0.000 0.000 0.000
H1 0.000 0.000 0.500

Calculated values
space-group type	P4/mmm, No. 123
energy	-3.374	eV per atom
magnetization	0.00	μB per atom

---

18.
Entry from Alexandria via LeMat-Bulk: a relaxed structure of Na2LiH6N3 (GGA-PBE).

Unit cell a=6.284 b=6.284 c=11.152 alpha=90.00 beta=90.00 gamma=90.00
Sites, in units of the cell vectors:
H1 0.307 0.242 0.572
H2 0.166 0.165 0.776
H3 0.346 0.940 0.642
H4 0.693 0.758 0.428
H5 0.060 0.346 0.142
H6 0.654 0.060 0.358
H7 0.060 0.346 0.858
H8 0.835 0.166 0.724
H9 0.940 0.654 0.142
H10 0.166 0.165 0.224
H11 0.835 0.166 0.276
H12 0.654 0.060 0.642
H13 0.758 0.307 0.928
H14 0.242 0.693 0.928
H15 0.834 0.835 0.776
H16 0.693 0.758 0.572
H17 0.307 0.242 0.428
H18 0.165 0.834 0.276
H19 0.834 0.835 0.224
H20 0.242 0.693 0.072
H21 0.165 0.834 0.724
H22 0.346 0.940 0.358
H23 0.758 0.307 0.072
H24 0.940 0.654 0.858
Na1 0.500 0.000 0.138
Na2 0.500 0.500 0.750
Na3 0.000 0.000 0.000
Na4 0.500 0.500 0.250
Na5 0.500 0.000 0.862
Na6 0.000 0.500 0.638
Na7 0.000 0.000 0.500
Na8 0.000 0.500 0.362
N1 0.275 0.796 0.660
N2 0.204 0.275 0.160
N3 0.724 0.662 0.500
N4 0.276 0.338 0.500
N5 0.725 0.204 0.340
N6 0.204 0.275 0.840
N7 0.725 0.204 0.660
N8 0.662 0.276 0.000
N9 0.275 0.796 0.340
N10 0.338 0.724 0.000
N11 0.796 0.725 0.840
N12 0.796 0.725 0.160
Li1 0.349 0.359 0.000
Li2 0.651 0.641 0.000
Li3 0.641 0.349 0.500
Li4 0.359 0.651 0.500

Calculated values
space-group type	P4_2/m, No. 84
energy	-4.558	eV per atom
magnetization	0.00	μB per atom

---

19.
Entry from Alexandria via LeMat-Bulk: a relaxed structure of PIrCl (GGA-PBE).

Unit cell a=6.150 b=6.150 c=6.150 alpha=148.53 beta=152.11 gamma=42.54
Sites, in units of the cell vectors:
Cl1 0.977 0.977 0.000
P1 0.796 0.796 0.000
Ir1 0.227 0.227 0.000

Calculated values
space-group type	Imm2, No. 44
energy	-5.475	eV per atom
magnetization	0.00	μB per atom

---

20.
Entry from Alexandria via LeMat-Bulk: a relaxed structure of NpBiTe2N (GGA-PBE).

Unit cell a=4.018 b=4.018 c=17.658 alpha=90.00 beta=90.00 gamma=90.00
Sites, in units of the cell vectors:
Te1 0.000 0.500 0.661
Te2 0.500 0.000 0.339
Te3 0.500 0.000 0.905
Te4 0.000 0.500 0.095
Np1 0.500 0.000 0.560
Np2 0.000 0.500 0.440
Bi1 0.500 0.000 0.166
Bi2 0.000 0.500 0.834
N1 0.500 0.500 0.500
N2 0.000 0.000 0.500

Calculated values
space-group type	P4/nmm, No. 129
energy	-6.888	eV per atom
magnetization	0.58	μB per atom

---

21.
Entry from Alexandria via LeMat-Bulk: a relaxed structure of K2LiHgCl6 (GGA-PBE).

Unit cell a=7.345 b=7.570 c=7.597 alpha=56.28 beta=54.04 gamma=59.30
Sites, in units of the cell vectors:
K1 0.057 0.090 0.802
K2 0.576 0.542 0.301
Cl1 0.476 0.645 0.870
Cl2 0.575 0.098 0.321
Cl3 0.057 0.534 0.782
Cl4 0.618 0.128 0.785
Cl5 0.156 0.987 0.233
Cl6 0.014 0.504 0.319
Hg1 0.816 0.816 0.552
Li1 0.316 0.316 0.052

Calculated values
space-group type	P-1, No. 2
energy	-2.801	eV per atom
magnetization	0.06	μB per atom

---

22.
Entry from Alexandria via LeMat-Bulk: a relaxed structure of LaRhBr2 (GGA-PBE).

Unit cell a=4.493 b=4.781 c=4.786 alpha=83.00 beta=90.00 gamma=90.00
Sites, in units of the cell vectors:
Rh1 0.500 0.750 0.750
Br1 0.000 0.528 0.528
Br2 0.000 0.972 0.972
La1 0.500 0.250 0.250

Calculated values
space-group type	Cmmm, No. 65
energy	-4.612	eV per atom
magnetization	0.00	μB per atom

---

23.
Entry from Alexandria via LeMat-Bulk: a relaxed structure of Rb4Nb (GGA-PBE).

Unit cell a=7.261 b=7.261 c=7.261 alpha=90.00 beta=90.00 gamma=90.00
Sites, in units of the cell vectors:
Nb1 0.500 0.500 0.500
Rb1 0.000 0.000 0.000
Rb2 0.500 0.500 0.000
Rb3 0.000 0.500 0.500
Rb4 0.500 0.000 0.500

Calculated values
space-group type	Pm-3m, No. 221
energy	-1.823	eV per atom
formation energy	965	meV per atom
magnetization	1.10	μB per atom